This record from the Alexandria database describes MnNiO3 after structural relaxation. The functional is GGA+U.

Summary:
- Total energy: -6.2558 eV/atom
- Size of the total moment: 5.00 μB/f.u.

```
data_MnNiO3
_chemical_formula_sum 'Mn6 Ni6 O18'
_cell_length_a 5.0048
_cell_length_b 5.0048
_cell_length_c 13.7913
_cell_angle_alpha 90.00
_cell_angle_beta 90.00
_cell_angle_gamma 120.00
_symmetry_space_group_name_H-M 'R -3'
_symmetry_Int_Tables_number 148
_symmetry_space_group_name_Hall '-R 3'
loop_
_atom_site_label
_atom_site_type_symbol
_atom_site_fract_x
_atom_site_fract_y
_atom_site_fract_z
Mn1 Mn 0.0000 0.0000 0.1568
Ni1 Ni 0.0000 0.0000 0.3544
O1 O 0.0174 0.3135 0.7545
```